Compound: Rb2UFeO6
Source: Alexandria via LeMat-Bulk
Functional: GGA+U
Structure: optimized geometry

Lattice parameters (Å, degrees): 5.886 5.886 5.882 120.03 120.03 89.98
Fractional coordinates of all 10 atoms:
Rb: 0.750 0.250 0.500
Rb: 0.250 0.750 0.500
U: 0.500 0.500 0.000
Fe: 0.000 0.000 0.000
O: 0.750 0.751 0.000
O: 0.751 0.752 0.503
O: 0.249 0.250 0.000
O: 0.751 0.250 0.000
O: 0.248 0.249 0.497
O: 0.249 0.751 0.000

Values from the calculation:
DOS at the Fermi energy, states/eV per cell: 5.6
Calculated total energy, eV/atom: -6.9498